# PBE CsHfTe2, optimized geometry
# energy: -4.35 eV/atom
# size of the total moment: 3.994 μB/cell
# mass density: 7.8 Mg/m³
data_CsHfTe2
_symmetry_space_group_name_H-M 'F m -3 m'
_symmetry_Int_Tables_number 225
_symmetry_space_group_name_Hall '-F 4 2 3'
_cell_length_a 7.860
_cell_length_b 7.860
_cell_length_c 7.860
_cell_angle_alpha 90.00
_cell_angle_beta 90.00
_cell_angle_gamma 90.00
loop_
_atom_site_label
_atom_site_fract_x
_atom_site_fract_y
_atom_site_fract_z
Cs1 0.000 0.000 0.000
Hf1 0.000 0.000 0.500
Te1 0.250 0.250 0.250

# PBE Cs4HfTe4, optimized geometry
# energy: -3.88 eV/atom
# distance to the lowest polymorph of the same formula: 71 meV/atom
# size of the total moment: 0.000 μB/cell
# mass density: 3.3 Mg/m³
data_Cs4HfTe4
_symmetry_space_group_name_H-M 'I -4 2 m'
_symmetry_Int_Tables_number 121
_symmetry_space_group_name_Hall 'I -4 2'
_cell_length_a 9.038
_cell_length_b 9.038
_cell_length_c 15.042
_cell_angle_alpha 90.00
_cell_angle_beta 90.00
_cell_angle_gamma 90.00
loop_
_atom_site_label
_atom_site_fract_x
_atom_site_fract_y
_atom_site_fract_z
Cs1 0.000 0.000 0.196
Cs2 0.000 0.500 0.000
Hf1 0.000 0.000 0.500
Te1 0.175 0.175 0.607

# PBE CsHfTe4, optimized geometry
# energy: -4.52 eV/atom
# distance to the lowest polymorph of the same formula: 25 meV/atom
# size of the total moment: 0.000 μB/cell
# mass density: 5.6 Mg/m³
data_CsHfTe4
_symmetry_space_group_name_H-M 'C 1 2/c 1'
_symmetry_Int_Tables_number 15
_symmetry_space_group_name_Hall '-C 2yc'
_cell_length_a 8.990
_cell_length_b 16.303
_cell_length_c 7.190
_cell_angle_alpha 90.00
_cell_angle_beta 113.08
_cell_angle_gamma 90.00
loop_
_atom_site_label
_atom_site_fract_x
_atom_site_fract_y
_atom_site_fract_z
Cs1 0.000 0.144 0.250
Hf1 0.000 0.500 0.250
Te1 0.061 0.361 0.530
Te2 0.238 0.075 0.870

> Number 1 is which compound?

CsHfTe2

> Number 1 is which compound?

CsHfTe2

> The lowest mass density belongs to which entry?

Cs4HfTe4